[1]
This record from Alexandria describes a relaxed EuThIrAu crystal. The functional is PBE.

Computed properties:
Crystal system: cubic
Formation energy from the elements (eV/atom): -0.607

Lattice parameters (Å, degrees): 5.1246 5.1246 5.1246 60.00 60.00 60.00
With the nearest neighbours (Å) after each atom.
Sites, in units of the cell vectors:
Au 0.7500 0.7500 0.7500  4 Th 3.14, 4 Eu 3.14
Eu 0.0000 0.0000 0.0000  4 Au 3.14, 4 Ir 3.14
Ir 0.2500 0.2500 0.2500  4 Th 3.14, 4 Eu 3.14
Th 0.5000 0.5000 0.5000  4 Ir 3.14, 4 Au 3.14

---

[2]
This record from Alexandria describes a relaxed ThTiCu2 crystal. The functional is PBE.

Computed properties:
Distance to the lowest polymorph of the same formula (meV per atom): 80
Crystal system: cubic
Formation energy from the elements (eV/atom): 0.064

Lattice parameters (Å, degrees): 4.7835 4.7835 4.7835 60.00 60.00 60.00
With the nearest neighbours (Å) after each atom.
Sites, in units of the cell vectors:
Th 0.5000 0.5000 0.5000  8 Cu 2.93
Cu 0.7500 0.7500 0.7500  4 Th 2.93, 4 Ti 2.93
Cu 0.2500 0.2500 0.2500  4 Th 2.93, 4 Ti 2.93
Ti 0.0000 0.0000 0.0000  8 Cu 2.93

---

[3]
This record from Alexandria describes a relaxed Ac3Y2Cd3 crystal. The functional is PBE.

Computed properties:
Crystal system: orthorhombic
Formation energy from the elements (eV/atom): -0.214

Lattice parameters (Å, degrees): 3.9511 5.7736 12.2291 103.65 99.30 90.00
With the nearest neighbours (Å) after each atom.
Sites, in units of the cell vectors:
Ac 0.3754 0.3754 0.7508  6 Cd 3.50-3.53, 4 Y 3.84-3.87
Ac 0.5000 0.0000 0.0000  8 Cd 3.50-3.59
Ac 0.6246 0.6246 0.2492  6 Cd 3.50-3.53, 4 Y 3.84-3.87
Cd 0.1279 0.1279 0.2557  2 Y 3.19, 4 Ac 3.50
Cd 0.0000 0.5000 0.0000  8 Ac 3.50-3.53
Cd 0.8721 0.8721 0.7443  2 Y 3.19, 4 Ac 3.50
Y 0.2653 0.7653 0.5305  2 Cd 3.19, 4 Y 3.57
Y 0.7347 0.2347 0.4695  2 Cd 3.19, 4 Y 3.57

---

[4]
This record from Alexandria describes a relaxed SiHOs2Cl crystal. The functional is PBE.

Computed properties:
Electronic total energy (eV/atom): -5.433
Crystal system: tetragonal

Lattice parameters (Å, degrees): 4.5711 2.9584 4.5711 90.00 90.00 90.00
With the nearest neighbours (Å) after each atom.
Sites, in units of the cell vectors:
H 0.0000 0.5000 0.0000  2 Cl 1.48
Os 0.0000 0.0000 0.5000  2 Cl 2.29
Os 0.5000 0.0000 0.0000  2 Cl 2.29
Cl 0.0000 0.0000 0.0000  2 H 1.48
Si 0.5000 0.5000 0.5000  8 Os 2.72, 2 Si 2.96

---

[5]
This record from Alexandria describes a relaxed ErCuPt crystal. The functional is PBE.

Computed properties:
Distance to the lowest polymorph of the same formula (meV per atom): 379
Crystal system: monoclinic
Formation energy from the elements (eV/atom): -0.483

Lattice parameters (Å, degrees): 4.1357 4.1383 8.8326 103.67 103.67 60.37
With the nearest neighbours (Å) after each atom.
Sites, in units of the cell vectors:
Er 0.5790 0.0480 0.0504  1 Cu 2.80, 3 Pt 2.80
Er 0.3557 0.8242 0.3884  3 Pt 2.77, 1 Cu 2.83
Pt 0.7456 0.2147 0.5526  6 Cu 2.73-2.80, 3 Er 2.77, 1 Pt 2.78
Pt 0.8563 0.3256 0.8794  6 Cu 2.73-2.81, 1 Pt 2.78, 3 Er 2.80
Cu 0.4699 0.9393 0.7212  3 Cu 2.39-2.40
Cu 0.1314 0.6007 0.7077  3 Cu 2.39-2.40

---

[6]
This record from Alexandria describes a relaxed EuCoNi crystal. The functional is PBE.

Computed properties:
Crystal system: hexagonal
Formation energy from the elements (eV/atom): 0.030

Lattice parameters (Å, degrees): 4.2319 3.9542 3.9542 120.00 90.00 90.00
With the nearest neighbours (Å) after each atom.
Sites, in units of the cell vectors:
Eu 0.6667 0.3333 0.6667  6 Ni 3.11, 6 Co 3.11
Ni 0.1667 0.6667 0.3333  3 Co 2.28
Co 0.1667 0.0000 0.0000  3 Ni 2.28

---

[7]
This record from Alexandria describes a relaxed PaVSbMo crystal. The functional is PBE.

Computed properties:
Crystal system: cubic
ΔE_f (raw) (eV/atom): 0.016

Lattice parameters (Å, degrees): 4.7728 4.7728 4.7728 60.00 60.00 60.00
With the nearest neighbours (Å) after each atom.
Sites, in units of the cell vectors:
Sb 0.2500 0.2500 0.2500  4 Mo 2.92, 4 V 2.92
Pa 0.7500 0.7500 0.7500  4 Mo 2.92, 4 V 2.92
Mo 0.5000 0.5000 0.5000  4 Pa 2.92, 4 Sb 2.92
V 0.0000 0.0000 0.0000  4 Sb 2.92, 4 Pa 2.92

---

[8]
This record from Alexandria describes a relaxed Th2CdHg6 crystal. The functional is PBE.

Computed properties:
Distance to the lowest polymorph of the same formula (meV per atom): 0
Crystal system: hexagonal
Formation energy from the elements (eV/atom): -0.153

Lattice parameters (Å, degrees): 3.3372 8.8654 8.8654 60.00 89.98 89.98
With the nearest neighbours (Å) after each atom.
Sites, in units of the cell vectors:
Hg 0.5000 0.6719 0.3281  3 Hg 2.91-3.05
Hg 0.5010 0.3281 0.0000  3 Hg 2.91-3.05
Hg 0.4990 0.0000 0.6719  3 Hg 2.91-3.05
Hg 0.4990 0.6719 0.0000  3 Hg 2.91-3.05
Hg 0.5010 0.0000 0.3281  3 Hg 2.91-3.05
Hg 0.5000 0.3281 0.6719  3 Hg 2.91-3.05
Cd 0.0000 0.0000 0.0000  2 Cd 3.34, 12 Hg 3.35-3.36
Th 0.0000 0.3333 0.3333  2 Th 3.34, 12 Hg 3.41-3.42
Th 0.0000 0.6667 0.6667  2 Th 3.34, 12 Hg 3.41-3.42

---

[9]
This record from Alexandria describes a relaxed BiHCl3 crystal. The functional is PBE.

Computed properties:
Distance to the lowest polymorph of the same formula (meV per atom): 347
Crystal system: triclinic

Lattice parameters (Å, degrees): 4.1205 7.4814 12.0263 106.78 90.05 105.96
With the nearest neighbours (Å) after each atom.
Sites, in units of the cell vectors:
Cl 0.0497 0.9419 0.6846  1 Bi 2.45
Cl 0.5643 0.9726 0.4185  2 Bi 2.83-2.84
Cl 0.8644 0.5732 0.1951  2 Bi 2.83-2.84
Cl 0.0972 0.0393 0.1171  2 Bi 2.75
Cl 0.3315 0.5065 0.4966  2 Bi 2.75
Cl 0.3789 0.6039 0.9290  1 Bi 2.45
H 0.7681 0.3800 0.6965  1 H 3.45, 7 Cl 3.45-3.73
H 0.6606 0.1658 0.9172  1 H 3.45, 7 Cl 3.45-3.73
Bi 0.9530 0.7495 0.4786  1 Cl 2.45
Bi 0.4757 0.7963 0.1350  1 Cl 2.45

---

[10]
This record from Alexandria describes a relaxed ReSbAu2 crystal. The functional is PBE.

Computed properties:
Crystal system: tetragonal
ΔE_f (raw) (eV/atom): 0.440

Lattice parameters (Å, degrees): 3.4436 3.4452 6.1971 90.00 90.00 90.00
With the nearest neighbours (Å) after each atom.
Sites, in units of the cell vectors:
Au 0.0000 0.0000 0.0172  4 Au 2.83, 4 Sb 3.05, 2 Re 3.06-3.14
Au 0.5000 0.5000 0.2498  4 Au 2.83, 1 Sb 2.92, 4 Re 2.93
Re 0.0000 0.0000 0.5113  4 Sb 2.76, 5 Au 2.93-3.06
Sb 0.5000 0.5000 0.7217  4 Re 2.76, 5 Au 2.92-3.05

---

[11]
This record from Alexandria describes a relaxed YZn4Co2 crystal. The functional is PBE.

Computed properties:
Crystal system: monoclinic
Formation energy from the elements (eV/atom): -0.182

Lattice parameters (Å, degrees): 4.9596 5.2229 5.2229 77.00 61.73 61.73
With the nearest neighbours (Å) after each atom.
Sites, in units of the cell vectors:
Zn 0.6939 0.6120 0.0001  4 Zn 2.52-2.69, 4 Co 2.66, 1 Y 2.81
Zn 0.3061 0.3880 0.9999  4 Zn 2.52-2.69, 4 Co 2.66, 1 Y 2.81
Zn 0.6939 0.0001 0.6120  4 Zn 2.52-2.69, 4 Co 2.66, 1 Y 2.81
Zn 0.3061 0.9999 0.3880  4 Zn 2.52-2.69, 4 Co 2.66, 1 Y 2.81
Co 0.7503 0.4998 0.4998  2 Co 2.48, 8 Zn 2.66
Co 0.2497 0.5002 0.5002  2 Co 2.48, 8 Zn 2.66
Y 0.0000 0.0000 0.0000  12 Zn 2.81-3.06

---

[12]
This record from Alexandria describes a relaxed ErGe3Pd2 crystal. The functional is PBE.

Computed properties:
Distance to the lowest polymorph of the same formula (meV per atom): 148
Crystal system: orthorhombic
Formation energy from the elements (eV/atom): -0.416

Lattice parameters (Å, degrees): 5.8825 6.3756 6.3756 92.21 90.00 90.00
With the nearest neighbours (Å) after each atom.
Sites, in units of the cell vectors:
Er 0.2500 0.2852 0.7148  8 Ge 3.14-3.37, 4 Pd 3.33
Er 0.7500 0.7148 0.2852  8 Ge 3.14-3.37, 4 Pd 3.33
Ge 0.2500 0.7399 0.5424  2 Pd 2.45, 2 Ge 2.50-2.56
Ge 0.2500 0.4576 0.2601  2 Pd 2.45, 2 Ge 2.50-2.56
Ge 0.7500 0.2601 0.4576  2 Pd 2.45, 2 Ge 2.50-2.56
Ge 0.7500 0.5424 0.7399  2 Pd 2.45, 2 Ge 2.50-2.56
Ge 0.2500 0.8418 0.1582  4 Pd 2.52, 2 Ge 2.56
Ge 0.7500 0.1582 0.8418  4 Pd 2.52, 2 Ge 2.56
Pd 0.0000 0.8375 0.8375  4 Ge 2.45-2.52
Pd 0.5000 0.1625 0.1625  4 Ge 2.45-2.52
Pd 0.0000 0.1625 0.1625  4 Ge 2.45-2.52
Pd 0.5000 0.8375 0.8375  4 Ge 2.45-2.52